[1]
Y4Ni3Pt: relaxed, PBE.

Results
Magnetization, μB per cell: 0.0
Electronic total energy, eV/atom: -6.727

abc: 5.4886 4.2932 7.0678
angles: 90.00 90.16 90.00
Closest atoms and distances in Å follow each position.
Space group Pm (No. 6)
One atom of each set of equivalent atoms:
Y 0.0000 0.0000 0.0000  5 Ni 2.86-2.94, 2 Pt 2.93
Y 0.2256 0.0000 0.5064  6 Ni 2.86-2.99, 1 Pt 2.97
Y 0.5000 0.5000 0.8599  5 Ni 2.87-3.00, 2 Pt 2.94
Y 0.7321 0.5000 0.3691  5 Ni 2.85-2.97, 2 Pt 2.96
Ni 0.2226 0.5000 0.2256  2 Pt 2.69, 7 Y 2.88-3.00
Ni 0.7394 0.0000 0.6491  2 Ni 2.60, 2 Y 2.86
Ni 0.9902 0.5000 0.7188  2 Ni 2.60, 2 Y 2.85-2.87
Pt 0.5001 0.0000 0.1447  2 Ni 2.69, 7 Y 2.93-2.97

***

[2]
Y4NiPt3: relaxed, PBE.

Results
Magnetization, μB per cell: 0.0
Electronic total energy, eV/atom: -7.258

abc: 5.5535 4.4495 7.1023
angles: 90.00 90.56 90.00
Closest atoms and distances in Å follow each position.
Space group Pm (No. 6)
One atom of each set of equivalent atoms:
Y 0.0000 0.0000 0.0000  5 Pt 2.89-3.01, 2 Ni 2.98
Y 0.2191 0.0000 0.5015  5 Pt 2.95-3.07, 2 Ni 2.99
Y 0.4975 0.5000 0.8632  2 Ni 2.94-2.97, 5 Pt 2.96-3.08
Y 0.7179 0.5000 0.3663  6 Pt 2.87-3.02, 1 Ni 2.95
Ni 0.9981 0.5000 0.7208  2 Pt 2.74, 7 Y 2.94-2.99
Pt 0.2021 0.5000 0.2273  7 Y 2.87-3.08, 2 Pt 2.89
Pt 0.5131 0.0000 0.1384  7 Y 2.89-3.07, 2 Pt 2.89
Pt 0.7238 0.0000 0.6463  2 Ni 2.74, 7 Y 2.93-2.99

***

[3]
YZnNiPt: relaxed, PBE.

Results
Magnetization, μB per cell: 0.0
Electronic total energy, eV/atom: -5.410

abc: 6.4938 6.4938 6.4938
angles: 90.00 90.00 90.00
Closest atoms and distances in Å follow each position.
Space group F-43m (No. 216)
One atom of each set of equivalent atoms:
Y 0.0000 0.0000 0.0000  4 Ni 2.81, 4 Pt 2.81
Zn 0.0000 0.0000 0.5000  4 Pt 2.81, 4 Ni 2.81
Ni 0.2500 0.2500 0.7500  4 Zn 2.81, 4 Y 2.81
Pt 0.2500 0.2500 0.2500  4 Zn 2.81, 4 Y 2.81

***

[4]
Zn2NiPt: relaxed, PBE.

Results
Magnetization, μB per cell: 0.0
Electronic total energy, eV/atom: -3.967

abc: 3.8877 3.8877 7.0783
angles: 90.00 90.00 90.00
Closest atoms and distances in Å follow each position.
Space group I4/mmm (No. 139)
One atom of each set of equivalent atoms:
Zn 0.0000 0.5000 0.2500  4 Pt 2.63, 4 Ni 2.63, 4 Zn 2.75
Ni 0.0000 0.0000 0.0000  8 Zn 2.63, 4 Pt 2.75
Pt 0.0000 0.0000 0.5000  8 Zn 2.63, 4 Ni 2.75

***

[5]
ZnNi2Pt: relaxed, PBE.

Results
Magnetization, μB per cell: 2.4
Electronic total energy, eV/atom: -4.801

abc: 5.8972 5.8972 5.8972
angles: 90.00 90.00 90.00
Closest atoms and distances in Å follow each position.
Space group F-43m (No. 216)
One atom of each set of equivalent atoms:
Zn 0.0000 0.0000 0.0000  4 Ni 2.55, 4 Pt 2.55
Ni 0.0000 0.0000 0.5000  4 Ni 2.55, 4 Pt 2.55
Ni 0.2500 0.2500 0.2500  4 Ni 2.55, 4 Zn 2.55
Pt 0.2500 0.2500 0.7500  4 Ni 2.55, 4 Zn 2.55

***

[6]
ZnNi2Pt: relaxed, PBE.

Results
Magnetization, μB per cell: 1.4
Electronic total energy, eV/atom: -4.834

abc: 3.7372 3.7372 7.3000
angles: 90.00 90.00 90.00
Closest atoms and distances in Å follow each position.
Space group I4/mmm (No. 139)
One atom of each set of equivalent atoms:
Zn 0.0000 0.0000 0.0000  8 Ni 2.61, 4 Pt 2.64
Ni 0.0000 0.5000 0.2500  4 Pt 2.61, 4 Zn 2.61, 4 Ni 2.64
Pt 0.0000 0.0000 0.5000  8 Ni 2.61, 4 Zn 2.64